Record 1
Density functional theory data (PBE) for an optimized crystal structure of Li2La2CePb2.

Results
N(E_F): 32.723 states/eV per cell
Crystal system: trigonal

Cell lengths 4.9597, 4.9597, 27.8464 Å; angles 90.00, 90.00, 120.00 degrees
Space group R-3m (No. 166, hexagonal axes)
Symmetry-distinct sites (fractional):
1 Li 0.0000 0.0000 0.0987
2 La 0.0000 0.0000 0.3696
3 Ce 0.0000 0.0000 0.5000
4 Pb 0.0000 0.0000 0.2330

***

Record 2
Density functional theory data (PBE) for an optimized crystal structure of LiLaCePb.

Results
N(E_F): 44.673 states/eV per cell
Crystal system: cubic

Cell lengths 7.808, 7.808, 7.808 Å; angles 90.00, 90.00, 90.00 degrees
Space group F-43m (No. 216)
Symmetry-distinct sites (fractional):
1 Li 0.000 0.000 0.000
2 La 0.250 0.250 0.750
3 Ce 0.250 0.250 0.250
4 Pb 0.000 0.000 0.500

***

Record 3
Density functional theory data (PBE) for an optimized crystal structure of LiLaCePd.

Results
N(E_F): 35.989 states/eV per cell
Crystal system: cubic

Cell lengths 7.347, 7.347, 7.347 Å; angles 90.00, 90.00, 90.00 degrees
Space group F-43m (No. 216)
Symmetry-distinct sites (fractional):
1 Li 0.000 0.000 0.000
2 La 0.250 0.250 0.750
3 Ce 0.250 0.250 0.250
4 Pd 0.000 0.000 0.500

***

Record 4
Density functional theory data (PBE) for an optimized crystal structure of LiLaCePr.

Results
N(E_F): 41.132 states/eV per cell
Crystal system: cubic

Cell lengths 7.834, 7.834, 7.834 Å; angles 90.00, 90.00, 90.00 degrees
Space group F-43m (No. 216)
Symmetry-distinct sites (fractional):
1 Li 0.000 0.000 0.000
2 La 0.250 0.250 0.750
3 Ce 0.000 0.000 0.500
4 Pr 0.250 0.250 0.250

***

Record 5
Density functional theory data (PBE) for an optimized crystal structure of LiLaCePt.

Results
N(E_F): 35.896 states/eV per cell
Crystal system: cubic

Cell lengths 7.300, 7.300, 7.300 Å; angles 90.00, 90.00, 90.00 degrees
Space group F-43m (No. 216)
Symmetry-distinct sites (fractional):
1 Li 0.000 0.000 0.000
2 La 0.250 0.250 0.750
3 Ce 0.250 0.250 0.250
4 Pt 0.000 0.000 0.500

***

Record 6
Density functional theory data (PBE) for an optimized crystal structure of Li2LaCePt2.

Results
N(E_F): 8.104 states/eV per cell
Crystal system: trigonal

Cell lengths 4.4534, 4.4534, 7.3475 Å; angles 90.00, 90.00, 120.00 degrees
Space group P-3m1 (No. 164)
Symmetry-distinct sites (fractional):
1 Li 0.3333 0.6667 0.2658
2 La 0.0000 0.0000 0.0000
3 Ce 0.0000 0.0000 0.5000
4 Pt 0.3333 0.6667 0.7332

***

Respective energy of formation values: -0.321, -0.212, -0.216, 0.254, -0.440, -0.715 eV per atom.
Respective total magnetic moment values: 0.176, 0.380, 0.251, 0.588, 0.256, 0.119 μB/atom.